This record from Alexandria via LeMat-Bulk describes an optimized crystal structure of Dy2Tm4Zr. The functional is PBE-GGA.

Structure (CIF):
```
data_Dy2Tm4Zr
_symmetry_space_group_name_H-M 'C 1 m 1'
_symmetry_Int_Tables_number 8
_symmetry_space_group_name_Hall 'C -2y'
_cell_length_a 6.071
_cell_length_b 3.505
_cell_length_c 19.447
_cell_angle_alpha 90.00
_cell_angle_beta 95.96
_cell_angle_gamma 90.00
loop_
_atom_site_label
_atom_site_fract_x
_atom_site_fract_y
_atom_site_fract_z
Dy1 0.000 0.000 0.000
Dy2 0.096 0.000 0.292
Tm1 0.284 0.000 0.854
Tm2 0.313 0.500 0.442
Tm3 0.382 0.000 0.147
Tm4 0.401 0.500 0.707
Zr1 0.190 0.000 0.575
```

## Properties
* formation energy from the elements: 0.2 eV per formula unit